No. 1
A plane-wave DFT calculation with PBE was carried out for K2TiSi3O9 after structural relaxation.

Cell: 7.7176 7.7176 7.7176 Å, 82.45 82.45 82.45°
Atoms (fractional coordinates):
K 0.0000 0.0000 0.0000
K 0.2685 0.5063 0.7306
K 0.5063 0.7306 0.2685
K 0.7306 0.2685 0.5063
Ti 0.2757 0.2757 0.2757
Ti 0.7582 0.7582 0.7582
Si 0.0638 0.9483 0.4826
Si 0.4014 0.9887 0.6070
Si 0.4826 0.0638 0.9483
Si 0.6070 0.4014 0.9887
Si 0.9483 0.4826 0.0638
Si 0.9887 0.6070 0.4014
O 0.0321 0.8134 0.3411
O 0.0734 0.1431 0.3780
O 0.1431 0.3780 0.0734
O 0.1744 0.4799 0.4003
O 0.2567 0.8688 0.5549
O 0.3411 0.0321 0.8134
O 0.3780 0.0734 0.1431
O 0.4003 0.1744 0.4799
O 0.4799 0.4003 0.1744
O 0.5549 0.2567 0.8688
O 0.5892 0.8675 0.5939
O 0.5939 0.5892 0.8675
O 0.6507 0.9132 0.9402
O 0.8134 0.3411 0.0321
O 0.8675 0.5939 0.5892
O 0.8688 0.5549 0.2567
O 0.9132 0.9402 0.6507
O 0.9402 0.6507 0.9132

Summary:
* E_form (uncorrected): -2728 meV/atom
* symmetry: No. 146
* VASP energy: -7.460 eV/atom
* ΔE to the lowest computed polymorph: 0.0 meV per atom



No. 2
A plane-wave DFT calculation with PBE was carried out for Ac2Zn3Ag5 after structural relaxation.

Cell: 9.1984 9.1984 9.1984 Å, 105.78 87.10 141.14°
Atoms (fractional coordinates):
Ac 0.1396 0.2217 0.3612
Ac 0.3604 0.7217 0.0821
Ac 0.6396 0.2783 0.9179
Ac 0.8604 0.7783 0.6388
Zn 0.1448 0.9029 0.0477
Zn 0.2500 0.7500 0.5000
Zn 0.3552 0.4029 0.7581
Zn 0.6448 0.5971 0.2419
Zn 0.7500 0.2500 0.5000
Zn 0.8552 0.0971 0.9523
Ag 0.0399 0.7500 0.2899
Ag 0.0944 0.6708 0.7652
Ag 0.2500 0.2500 0.0000
Ag 0.4056 0.1708 0.5764
Ag 0.4601 0.7500 0.7101
Ag 0.5399 0.2500 0.2899
Ag 0.5944 0.8292 0.4236
Ag 0.7500 0.7500 0.0000
Ag 0.9056 0.3292 0.2348
Ag 0.9601 0.2500 0.7101

Summary:
* ΔH_f (0 K): -0.23 eV per atom
* symmetry: No. 72
* VASP energy: -2.860 eV/atom
* ΔE to the lowest computed polymorph: 0.0 meV per atom



No. 3
A plane-wave DFT calculation with PBE was carried out for AlZnIn2 after structural relaxation.

Cell: 6.3266 6.3266 6.3266 Å, 103.12 103.12 123.10°
Atoms (fractional coordinates):
Al 0.0000 0.0000 0.0000
Al 0.7500 0.2500 0.5000
Zn 0.2500 0.7500 0.5000
Zn 0.5000 0.5000 0.0000
In 0.1343 0.1250 0.5093
In 0.3750 0.8657 0.9907
In 0.6157 0.6250 0.4907
In 0.8750 0.3843 0.0093

Summary:
* ΔH_f (0 K): 0.23 eV per atom
* symmetry: No. 122
* VASP energy: -2.392 eV/atom



No. 4
A plane-wave DFT calculation with PBE was carried out for AcTm2Lu after structural relaxation.

Cell: 5.7428 5.7428 5.7428 Å, 60.00 60.00 60.00°
Atoms (fractional coordinates):
Ac 0.0000 0.0000 0.0000
Tm 0.2500 0.2500 0.2500
Tm 0.7500 0.7500 0.7500
Lu 0.5000 0.5000 0.5000

Summary:
* ΔH_f (0 K): 0.14 eV per atom
* symmetry: No. 225
* VASP energy: -4.257 eV/atom
* ΔE to the lowest computed polymorph: 54.2 meV per atom



No. 5
A plane-wave DFT calculation with PBE was carried out for Ac2NdPuN5 after structural relaxation.

Cell: 7.6723 7.6723 11.3921 Å, 90.00 90.00 151.62°
Atoms (fractional coordinates):
Ac 0.1035 0.8965 0.5000
Ac 0.1361 0.8639 0.0755
Ac 0.8639 0.1361 0.5755
Ac 0.8965 0.1035 0.0000
Nd 0.2274 0.7726 0.8102
Nd 0.7726 0.2274 0.3102
Pu 0.4708 0.5292 0.2708
Pu 0.5292 0.4708 0.7708
N 0.0597 0.9403 0.8626
N 0.2715 0.7285 0.4694
N 0.3422 0.6578 0.2022
N 0.3959 0.6041 0.8242
N 0.4874 0.5126 0.5930
N 0.5126 0.4874 0.0930
N 0.6041 0.3959 0.3242
N 0.6578 0.3422 0.7022
N 0.7285 0.2715 0.9694
N 0.9403 0.0597 0.3626

Summary:
* E_form (uncorrected): -1008 meV/atom
* symmetry: No. 36
* VASP energy: -8.668 eV/atom